Entry from Alexandria via LeMat-Bulk: an optimized crystal structure of SrTc2O7 (PBE-GGA).

Structure (POSCAR):
```
SrTc2O7
1.0
3.7970 0.0000 0.0000
0.0000 5.9343 -0.0136
0.0000 -2.6301 5.3196
Sr Tc O
1 2 7
direct
0.0000 0.0000 0.0000
0.5000 0.6905 0.3095
0.5000 0.3095 0.6905
0.0000 0.6939 0.3061
0.0000 0.3061 0.6939
0.5000 0.0391 0.3287
0.5000 0.9609 0.6713
0.5000 0.3287 0.0391
0.5000 0.6713 0.9609
0.5000 0.5000 0.5000
```

Calculated values
The calculated volume comes out at 119.7 Å³/cell. As for the uncorrected formation energy: -1670 meV per atom. The density of states at the Fermi level is 0.18 states/eV per atom.


Entry from Alexandria via LeMat-Bulk: an optimized crystal structure of LiPrCdSn2 (PBE-GGA).

Structure (POSCAR):
```
LiPrCdSn2
1.0
4.4846 0.0000 0.0000
0.0000 4.4846 0.0000
-2.2423 -2.2423 6.3321
Li Pr Cd Sn
1 1 1 2
direct
0.7500 0.2500 0.5000
0.0000 0.0000 0.0000
0.2500 0.7500 0.5000
0.6116 0.6116 0.2231
0.3884 0.3884 0.7769
```

Calculated values
The calculated volume comes out at 127.3 Å³/cell. The calculated formation energy is -0.4431 eV/atom. The density of states at the Fermi level is 0.55 states/eV per atom.


Entry from Alexandria via LeMat-Bulk: an optimized crystal structure of Ti2NiGe2 (PBE-GGA).

Structure (POSCAR):
```
Ti2NiGe2
1.0
-4.7755 -3.8892 -0.8368
1.2626 -0.2418 -6.0810
2.3680 -3.0394 0.6125
Ni Ge Ti
2 4 4
direct
0.0000 0.0000 0.0000
0.5000 0.5000 0.0000
0.3590 0.8590 0.0000
0.8590 0.6410 0.0000
0.6410 0.1410 0.0000
0.1410 0.3590 0.0000
0.1676 0.6676 0.5000
0.6676 0.8324 0.5000
0.8324 0.3324 0.5000
0.3324 0.1676 0.5000
```

Calculated values
The calculated volume comes out at 150.7 Å³/cell. The calculated formation energy is -0.5486 eV/atom. The density of states at the Fermi level is 0.77 states/eV per atom.


Entry from Alexandria via LeMat-Bulk: an optimized crystal structure of RbHgI2N (PBE-GGA).

Structure (POSCAR):
```
RbHgI2N
1.0
-4.6023 -4.9012 -2.1212
-0.1458 -2.6839 6.5175
-4.6971 3.7821 1.4524
I Hg Rb N
2 1 1 1
direct
0.0000 0.5000 0.0000
0.5000 0.0000 0.0000
0.5000 0.5000 0.5000
0.0000 0.0000 0.0000
0.0000 0.0000 0.5000
```

Calculated values
The calculated volume comes out at 308.3 Å³/cell. As for the uncorrected formation energy: 729 meV per atom. The density of states at the Fermi level is 1.69 states/eV per atom. The energy above the lowest structure with this stoichiometry comes out at 577 meV/atom.


Entry from Alexandria via LeMat-Bulk: an optimized crystal structure of Tb12CePr7 (PBE-GGA).

Structure (POSCAR):
```
Tb12CePr7
1.0
8.5874 1.0249 1.5383
-1.4033 8.5337 1.5383
-1.4033 -1.8672 8.4678
Tb Ce Pr
12 1 7
direct
0.7784 0.2407 0.6335
0.7593 0.3665 0.2216
0.4480 0.1250 0.3669
0.8750 0.6331 0.5520
0.3665 0.2216 0.7593
0.6331 0.5520 0.8750
0.3669 0.4480 0.1250
0.6335 0.7784 0.2407
0.1250 0.3669 0.4480
0.5520 0.8750 0.6331
0.2407 0.6335 0.7784
0.2216 0.7593 0.3665
0.0000 0.0000 0.0000
0.9589 0.6685 0.0609
0.3315 0.9391 0.0411
0.9391 0.0411 0.3315
0.5000 0.5000 0.5000
0.0609 0.9589 0.6685
0.6685 0.0609 0.9589
0.0411 0.3315 0.9391
```

Calculated values
The calculated volume comes out at 677.6 Å³/cell. The calculated formation energy is 0.2329 eV/atom. The density of states at the Fermi level is 1.90 states/eV per atom.


Entry from Alexandria via LeMat-Bulk: an optimized crystal structure of RbBa2NaAs (PBE-GGA).

Structure (POSCAR):
```
RbBa2NaAs
1.0
6.5427 0.0000 0.0000
0.0000 6.5427 0.0000
0.0000 0.0000 6.1593
Na As Ba Rb
1 1 2 1
direct
0.0000 0.0000 0.5000
0.0000 0.0000 0.0000
0.0000 0.5000 0.0000
0.5000 0.0000 0.0000
0.5000 0.5000 0.5000
```

Calculated values
The calculated volume comes out at 263.7 Å³/cell. The calculated formation energy is -0.3571 eV/atom. The density of states at the Fermi level is 0.68 states/eV per atom. The energy above the lowest structure with this stoichiometry comes out at 23 meV/atom.


Entry from Alexandria via LeMat-Bulk: an optimized crystal structure of Rb12Au (PBE-GGA).

Structure (POSCAR):
```
Rb12Au
1.0
-8.8939 0.0013 6.3269
-2.1820 -5.2044 -9.3426
8.1496 -5.0867 5.1807
Rb Au
12 1
direct
0.6995 0.5274 0.8279
0.6995 0.8716 0.1721
0.3005 0.1284 0.8279
0.3005 0.4726 0.1721
0.5274 0.8279 0.6995
0.8716 0.1721 0.6995
0.1284 0.8279 0.3005
0.4726 0.1721 0.3005
0.8279 0.6995 0.5274
0.1721 0.6995 0.8716
0.8279 0.3005 0.1284
0.1721 0.3005 0.4726
0.0000 0.0000 0.0000
```

Calculated values
The calculated volume comes out at 1000.9 Å³/cell. The calculated formation energy is 0.0206 eV/atom. The density of states at the Fermi level is 0.79 states/eV per atom.